Compound: LiCdSi2
Source: the Alexandria database
Functional: PBE-GGA
Structure: optimized geometry

Computed properties:
- theoretical density (g/cm3) = 4.1
- space group = P4mm
- formation energy without anion corrections (eV per formula unit) = 0.5

```
LiCdSi2
1.0
3.311 0.000 0.000
0.000 3.311 0.000
0.000 0.000 6.436
Cd Si Li
1 2 1
Direct
0.000 0.000 0.499 Cd
0.500 0.500 0.190 Si
0.000 0.000 0.036 Si
0.500 0.500 0.775 Li
```

Compound: LiCdSi2
Source: the Alexandria database
Functional: PBE-GGA
Structure: optimized geometry

Computed properties:
- theoretical density (g/cm3) = 4.3
- space group = Cmm2
- formation energy without anion corrections (eV per formula unit) = 0.7

```
LiCdSi2
1.0
2.891 0.050 0.000
-0.640 2.819 0.000
0.000 0.000 8.378
Li Cd Si
1 1 2
Direct
0.500 0.500 0.773 Li
0.000 0.000 0.508 Cd
0.500 0.500 0.217 Si
0.000 0.000 0.002 Si
```

Compound: LiCdSi
Source: the Alexandria database
Functional: PBE-GGA
Structure: optimized geometry

Computed properties:
- theoretical density (g/cm3) = 4.4
- space group = P-6m2
- formation energy without anion corrections (eV per formula unit) = 0.1

```
LiCdSi
1.0
-3.820 0.497 2.336
2.314 -3.857 0.261
1.648 1.155 2.449
Cd Si Li
1 1 1
Direct
0.333 0.667 0.000 Cd
0.667 0.333 0.000 Si
0.000 0.000 0.500 Li
```

Compound: Li4Cd2Si
Source: the Alexandria database
Functional: PBE-GGA
Structure: optimized geometry

Computed properties:
- theoretical density (g/cm3) = 3.0
- space group = I4/mmm
- formation energy without anion corrections (eV per formula unit) = 0.3

```
Li4Cd2Si
1.0
4.671 0.000 0.000
0.000 4.671 0.000
2.336 2.336 7.175
Li Cd Si
4 2 1
Direct
0.500 0.000 0.000 Li
0.823 0.823 0.354 Li
0.000 0.500 0.000 Li
0.177 0.177 0.646 Li
0.375 0.375 0.249 Cd
0.625 0.625 0.751 Cd
0.000 0.000 0.000 Si
```

Compound: LiCdSi
Source: the Alexandria database
Functional: PBE-GGA
Structure: optimized geometry

Computed properties:
- theoretical density (g/cm3) = 4.6
- space group = P1
- formation energy without anion corrections (eV per formula unit) = 0.1

```
LiCdSi
1.0
2.798 0.000 0.001
0.000 2.798 0.000
-0.045 -0.019 6.811
Cd Li Si
1 1 1
Direct
0.725 0.944 0.228 Cd
0.230 0.447 0.558 Li
0.735 0.949 0.830 Si
```

Compound: LiCdSi2
Source: the Alexandria database
Functional: PBE-GGA
Structure: optimized geometry

Computed properties:
- theoretical density (g/cm3) = 4.1
- space group = R3m
- formation energy without anion corrections (eV per formula unit) = 0.5

```
LiCdSi2
1.0
8.689 0.042 0.025
8.124 3.082 0.025
8.124 1.510 2.687
Li Cd Si
1 1 2
Direct
0.742 0.742 0.742 Li
0.501 0.501 0.501 Cd
0.996 0.996 0.996 Si
0.261 0.261 0.261 Si
```

Compound: Li5Cd2Si
Source: the Alexandria database
Functional: PBE-GGA
Structure: optimized geometry

Computed properties:
- theoretical density (g/cm3) = 3.6
- space group = I4/mmm
- formation energy without anion corrections (eV per formula unit) = -1.9

```
Li5Cd2Si
1.0
-4.086 -1.905 -0.660
1.882 -4.139 0.295
0.100 3.010 6.421
Li Cd Si
5 2 1
Direct
0.613 0.113 0.225 Li
0.887 0.387 0.775 Li
0.500 0.500 0.000 Li
0.387 0.887 0.775 Li
0.113 0.613 0.225 Li
0.244 0.244 0.488 Cd
0.756 0.756 0.512 Cd
0.000 0.000 0.000 Si
```

Compound: Li4CdSi
Source: the Alexandria database
Functional: PBE-GGA
Structure: optimized geometry

Computed properties:
- theoretical density (g/cm3) = 2.9
- excess energy over the best structure of this formula in the dataset (eV per atom) = 0.268
- space group = F-43m
- formation energy without anion corrections (eV per formula unit) = 0.3

```
Li4CdSi
1.0
-4.269 -2.816 -0.702
-3.593 1.554 -3.365
-0.690 -2.583 -4.415
Cd Li Si
1 4 1
Direct
0.000 0.000 0.000 Cd
0.376 0.376 0.376 Li
0.376 0.872 0.376 Li
0.376 0.376 0.872 Li
0.872 0.376 0.376 Li
0.750 0.750 0.750 Si
```

Compound: LiCdSi2
Source: the Alexandria database
Functional: PBE-GGA
Structure: optimized geometry

Computed properties:
- theoretical density (g/cm3) = 4.0
- space group = Pmm2
- formation energy without anion corrections (eV per formula unit) = 0.5

```
LiCdSi2
1.0
3.901 0.000 0.000
0.000 2.794 -0.163
0.000 0.391 6.653
Si Cd Li
2 1 1
Direct
0.000 0.250 0.981 Si
0.500 0.249 0.195 Si
0.000 0.250 0.520 Cd
0.500 0.751 0.804 Li
```

Compound: Li6Cd2Si
Source: the Alexandria database
Functional: PBE-GGA
Structure: optimized geometry

Computed properties:
- theoretical density (g/cm3) = 3.2
- space group = C2/m
- formation energy without anion corrections (eV per formula unit) = -2.0

```
Li6Cd2Si
1.0
4.555 0.161 0.218
2.130 4.029 0.218
-0.381 -0.239 8.438
Cd Li Si
2 6 1
Direct
0.333 0.333 0.937 Cd
0.667 0.667 0.063 Cd
0.000 0.000 0.186 Li
0.333 0.333 0.304 Li
0.667 0.667 0.696 Li
0.000 0.000 0.814 Li
0.666 0.666 0.401 Li
0.334 0.334 0.599 Li
0.000 0.000 0.500 Si
```

Compound: LiCdSi
Source: the Alexandria database
Functional: PBE-GGA
Structure: optimized geometry

Computed properties:
- theoretical density (g/cm3) = 3.9
- space group = Pmmm
- formation energy without anion corrections (eV per formula unit) = 0.4

```
LiCdSi
1.0
2.917 0.000 0.141
0.000 4.547 0.000
-0.228 0.000 4.770
Cd Si Li
1 1 1
Direct
0.794 0.500 0.445 Cd
0.295 0.500 0.945 Si
0.795 0.000 0.945 Li
```

Compound: Li5Cd4Si
Source: the Alexandria database
Functional: PBE-GGA
Structure: optimized geometry

Computed properties:
- theoretical density (g/cm3) = 4.9
- space group = Pmmm
- formation energy without anion corrections (eV per formula unit) = -1.8

```
Li5Cd4Si
1.0
-0.351 -1.759 -2.526
3.338 0.954 -1.129
6.020 -12.091 7.583
Cd Li Si
4 5 1
Direct
0.000 0.000 0.604 Cd
0.000 0.000 0.189 Cd
0.000 0.000 0.396 Cd
0.000 0.000 0.811 Cd
0.500 0.500 0.707 Li
0.500 0.500 0.293 Li
0.500 0.500 0.916 Li
0.500 0.500 0.500 Li
0.500 0.500 0.084 Li
0.000 0.000 0.000 Si
```

- Which value of formation energy without anion corrections does entry 11 give?
  0.4 eV per formula unit

- What is the formation energy without anion corrections in the fifth record?
  0.1 eV per formula unit

- Which value of formation energy without anion corrections does entry 2 give?
  0.7 eV per formula unit

- Look up the theoretical density of the ninth one.
  4.0 g/cm3